(1)
Compound: Pr3TmRu8
Source: Alexandria
Functional: PBE
Structure: relaxed

CIF file:
```
data_Pr3TmRu8
_cell_length_a 5.4023
_cell_length_b 5.4023
_cell_length_c 26.6666
_cell_angle_alpha 90.00
_cell_angle_beta 90.00
_cell_angle_gamma 120.00
_symmetry_space_group_name_H-M 'R 3 m'
_symmetry_Int_Tables_number 160
_symmetry_space_group_name_Hall 'R 3 -2"'
loop_
_atom_site_label
_atom_site_type_symbol
_atom_site_fract_x
_atom_site_fract_y
_atom_site_fract_z
Pr1 Pr 0.0000 0.0000 0.0000
Pr2 Pr 0.0000 0.0000 0.1250
Pr3 Pr 0.0000 0.0000 0.4998
Tm1 Tm 0.0000 0.0000 0.6243
Ru1 Ru 0.0000 0.0000 0.3073
Ru2 Ru 0.0000 0.0000 0.8078
Ru3 Ru 0.0034 0.5017 0.0597
Ru4 Ru 0.0109 0.5055 0.5634
```

Properties
ρ ... 10.349 g/cm3
Crystal system ... trigonal
Formation energy ... -0.151 eV per atom
V ... 18.72 Å³ per atom



(2)
Compound: PrTmRu
Source: Alexandria
Functional: PBE
Structure: relaxed

CIF file:
```
data_PrTmRu
_cell_length_a 6.851
_cell_length_b 6.851
_cell_length_c 6.851
_cell_angle_alpha 90.00
_cell_angle_beta 90.00
_cell_angle_gamma 90.00
_symmetry_space_group_name_H-M 'F -4 3 m'
_symmetry_Int_Tables_number 216
_symmetry_space_group_name_Hall 'F -4 2 3'
loop_
_atom_site_label
_atom_site_type_symbol
_atom_site_fract_x
_atom_site_fract_y
_atom_site_fract_z
Pr1 Pr 0.000 0.000 0.000
Tm1 Tm 0.000 0.000 0.500
Ru1 Ru 0.250 0.250 0.750
```

Properties
Excess energy over the best structure of this formula in the dataset ... 60 meV/atom
ρ ... 8.486 g/cm3
Crystal system ... cubic
Formation energy ... -0.199 eV per atom
V ... 26.80 Å³ per atom



(3)
Compound: PrTmRu
Source: Alexandria
Functional: PBE
Structure: relaxed

CIF file:
```
data_PrTmRu
_cell_length_a 4.618
_cell_length_b 4.618
_cell_length_c 7.120
_cell_angle_alpha 90.00
_cell_angle_beta 90.00
_cell_angle_gamma 90.00
_symmetry_space_group_name_H-M 'P 4/n m m'
_symmetry_Int_Tables_number 129
loop_
_symmetry_equiv_pos_as_xyz
'x,y,z'
'-x,-y,-z'
'-y+1/2,x,z'
'y+1/2,-x,-z'
'-x+1/2,-y+1/2,z'
'x+1/2,y+1/2,-z'
'y,-x+1/2,z'
'-y,x+1/2,-z'
'x+1/2,-y,-z'
'-x+1/2,y,z'
'-y,-x,-z'
'y,x,z'
'-x,y+1/2,-z'
'x,-y+1/2,z'
'y+1/2,x+1/2,-z'
'-y+1/2,-x+1/2,z'
loop_
_atom_site_label
_atom_site_type_symbol
_atom_site_fract_x
_atom_site_fract_y
_atom_site_fract_z
Pr1 Pr 0.250 0.250 0.124
Tm1 Tm 0.250 0.750 0.500
Ru1 Ru 0.250 0.250 0.737
```

Properties
Excess energy over the best structure of this formula in the dataset ... 0 meV/atom
ρ ... 8.988 g/cm3
Crystal system ... tetragonal
Formation energy ... -0.259 eV per atom
V ... 25.31 Å³ per atom



(4)
Compound: Pr2Tm3Ru2
Source: Alexandria
Functional: PBE
Structure: relaxed

CIF file:
```
data_Pr2Tm3Ru2
_cell_length_a 12.119
_cell_length_b 3.859
_cell_length_c 8.854
_cell_angle_alpha 90.00
_cell_angle_beta 116.39
_cell_angle_gamma 90.00
_symmetry_space_group_name_H-M 'C 1 2/m 1'
_symmetry_Int_Tables_number 12
loop_
_symmetry_equiv_pos_as_xyz
'x,y,z'
'-x,-y,-z'
'-x,y,-z'
'x,-y,z'
'x+1/2,y+1/2,z'
'-x+1/2,-y+1/2,-z'
'-x+1/2,y+1/2,-z'
'x+1/2,-y+1/2,z'
loop_
_atom_site_label
_atom_site_type_symbol
_atom_site_fract_x
_atom_site_fract_y
_atom_site_fract_z
Pr1 Pr 0.162 0.000 0.298
Tm1 Tm 0.000 0.500 0.500
Tm2 Tm 0.124 0.500 0.926
Ru1 Ru 0.174 0.000 0.734
```

Properties
ρ ... 8.871 g/cm3
Crystal system ... monoclinic
Formation energy ... -0.307 eV per atom
V ... 26.49 Å³ per atom



(5)
Compound: PrTm5Ru6
Source: Alexandria
Functional: PBE
Structure: relaxed

CIF file:
```
data_PrTm5Ru6
_cell_length_a 4.786
_cell_length_b 6.778
_cell_length_c 14.330
_cell_angle_alpha 90.00
_cell_angle_beta 90.00
_cell_angle_gamma 90.00
_symmetry_space_group_name_H-M 'I m m m'
_symmetry_Int_Tables_number 71
_symmetry_space_group_name_Hall '-I 2 2'
loop_
_atom_site_label
_atom_site_type_symbol
_atom_site_fract_x
_atom_site_fract_y
_atom_site_fract_z
Pr1 Pr 0.000 0.000 0.000
Tm1 Tm 0.000 0.000 0.334
Tm2 Tm 0.000 0.500 0.000
Tm3 Tm 0.000 0.500 0.330
Ru1 Ru 0.000 0.245 0.500
Ru2 Ru 0.000 0.252 0.168
```

Properties
ρ ... 11.375 g/cm3
Crystal system ... orthorhombic
Formation energy ... -0.341 eV per atom
V ... 19.37 Å³ per atom



(6)
Compound: PrTmRu2
Source: Alexandria
Functional: PBE
Structure: relaxed

CIF file:
```
data_PrTmRu2
_cell_length_a 3.441
_cell_length_b 3.441
_cell_length_c 6.906
_cell_angle_alpha 90.00
_cell_angle_beta 90.00
_cell_angle_gamma 90.00
_symmetry_space_group_name_H-M 'P 4/m m m'
_symmetry_Int_Tables_number 123
_symmetry_space_group_name_Hall '-P 4 2'
loop_
_atom_site_label
_atom_site_type_symbol
_atom_site_fract_x
_atom_site_fract_y
_atom_site_fract_z
Pr1 Pr 0.000 0.000 0.000
Tm1 Tm 0.000 0.000 0.500
Ru1 Ru 0.500 0.500 0.262
```

Properties
ρ ... 10.400 g/cm3
Crystal system ... tetragonal
Formation energy ... -0.197 eV per atom
V ... 20.44 Å³ per atom



(7)
Compound: PrTm3Ru
Source: Alexandria
Functional: PBE
Structure: relaxed

CIF file:
```
data_PrTm3Ru
_cell_length_a 5.347
_cell_length_b 5.347
_cell_length_c 5.347
_cell_angle_alpha 90.00
_cell_angle_beta 90.00
_cell_angle_gamma 90.00
_symmetry_space_group_name_H-M 'P m -3 m'
_symmetry_Int_Tables_number 221
_symmetry_space_group_name_Hall '-P 4 2 3'
loop_
_atom_site_label
_atom_site_type_symbol
_atom_site_fract_x
_atom_site_fract_y
_atom_site_fract_z
Pr1 Pr 0.000 0.000 0.000
Tm1 Tm 0.000 0.500 0.500
Ru1 Ru 0.500 0.500 0.500
```

Properties
Excess energy over the best structure of this formula in the dataset ... 138 meV/atom
ρ ... 8.132 g/cm3
Crystal system ... cubic
Formation energy ... -0.133 eV per atom
V ... 30.58 Å³ per atom



(8)
Compound: PrTm3Ru
Source: Alexandria
Functional: PBE
Structure: relaxed

CIF file:
```
data_PrTm3Ru
_cell_length_a 8.579
_cell_length_b 3.801
_cell_length_c 8.613
_cell_angle_alpha 90.00
_cell_angle_beta 101.93
_cell_angle_gamma 90.00
_symmetry_space_group_name_H-M 'P 1 21/m 1'
_symmetry_Int_Tables_number 11
loop_
_symmetry_equiv_pos_as_xyz
'x,y,z'
'-x,-y,-z'
'-x,y+1/2,-z'
'x,-y+1/2,z'
loop_
_atom_site_label
_atom_site_type_symbol
_atom_site_fract_x
_atom_site_fract_y
_atom_site_fract_z
Pr1 Pr 0.172 0.250 0.017
Tm1 Tm 0.029 0.750 0.662
Tm2 Tm 0.339 0.750 0.393
Tm3 Tm 0.419 0.750 0.814
Ru1 Ru 0.259 0.250 0.597
```

Properties
Excess energy over the best structure of this formula in the dataset ... 0 meV/atom
ρ ... 9.050 g/cm3
Crystal system ... monoclinic
Formation energy ... -0.271 eV per atom
V ... 27.48 Å³ per atom



(9)
Compound: PrTm3Ru2
Source: Alexandria
Functional: PBE
Structure: relaxed

CIF file:
```
data_PrTm3Ru2
_cell_length_a 6.6809
_cell_length_b 6.6809
_cell_length_c 3.9460
_cell_angle_alpha 90.00
_cell_angle_beta 90.00
_cell_angle_gamma 120.00
_symmetry_space_group_name_H-M 'P 6/m m m'
_symmetry_Int_Tables_number 191
_symmetry_space_group_name_Hall '-P 6 2'
loop_
_atom_site_label
_atom_site_type_symbol
_atom_site_fract_x
_atom_site_fract_y
_atom_site_fract_z
Pr1 Pr 0.0000 0.0000 0.0000
Tm1 Tm 0.0000 0.5000 0.5000
Ru1 Ru 0.3333 0.6667 0.0000
```

Properties
Excess energy over the best structure of this formula in the dataset ... 139 meV/atom
ρ ... 9.252 g/cm3
Crystal system ... hexagonal
Formation energy ... -0.213 eV per atom
V ... 25.42 Å³ per atom



(10)
Compound: PrTmRu
Source: Alexandria
Functional: PBE
Structure: relaxed

CIF file:
```
data_PrTmRu
_cell_length_a 8.567
_cell_length_b 8.567
_cell_length_c 4.333
_cell_angle_alpha 90.00
_cell_angle_beta 90.00
_cell_angle_gamma 90.00
_symmetry_space_group_name_H-M 'P 42/m'
_symmetry_Int_Tables_number 84
loop_
_symmetry_equiv_pos_as_xyz
'x,y,z'
'-x,-y,-z'
'-y,x,z+1/2'
'y,-x,-z+1/2'
'-x,-y,z'
'x,y,-z'
'y,-x,z+1/2'
'-y,x,-z+1/2'
loop_
_atom_site_label
_atom_site_type_symbol
_atom_site_fract_x
_atom_site_fract_y
_atom_site_fract_z
Pr1 Pr 0.058 0.284 0.000
Tm1 Tm 0.332 0.624 0.000
Ru1 Ru 0.131 0.585 0.500
```

Properties
Excess energy over the best structure of this formula in the dataset ... 52 meV/atom
ρ ... 8.583 g/cm3
Crystal system ... tetragonal
Formation energy ... -0.207 eV per atom
V ... 26.50 Å³ per atom



(11)
Compound: PrTmRu
Source: Alexandria
Functional: PBE
Structure: relaxed

CIF file:
```
data_PrTmRu
_cell_length_a 3.440
_cell_length_b 3.440
_cell_length_c 13.220
_cell_angle_alpha 90.00
_cell_angle_beta 90.00
_cell_angle_gamma 90.00
_symmetry_space_group_name_H-M 'I 4 m m'
_symmetry_Int_Tables_number 107
_symmetry_space_group_name_Hall 'I 4 -2'
loop_
_atom_site_label
_atom_site_type_symbol
_atom_site_fract_x
_atom_site_fract_y
_atom_site_fract_z
Pr1 Pr 0.000 0.000 0.000
Tm1 Tm 0.000 0.000 0.254
Ru1 Ru 0.000 0.000 0.637
```

Properties
Excess energy over the best structure of this formula in the dataset ... 6 meV/atom
ρ ... 8.724 g/cm3
Crystal system ... tetragonal
Formation energy ... -0.254 eV per atom
V ... 26.07 Å³ per atom



(12)
Compound: PrTmRu4
Source: Alexandria
Functional: PBE
Structure: relaxed

CIF file:
```
data_PrTmRu4
_cell_length_a 7.602
_cell_length_b 7.602
_cell_length_c 7.602
_cell_angle_alpha 90.00
_cell_angle_beta 90.00
_cell_angle_gamma 90.00
_symmetry_space_group_name_H-M 'F -4 3 m'
_symmetry_Int_Tables_number 216
_symmetry_space_group_name_Hall 'F -4 2 3'
loop_
_atom_site_label
_atom_site_type_symbol
_atom_site_fract_x
_atom_site_fract_y
_atom_site_fract_z
Pr1 Pr 0.000 0.000 0.000
Tm1 Tm 0.250 0.250 0.250
Ru1 Ru 0.125 0.125 0.625
```

Properties
ρ ... 10.796 g/cm3
Crystal system ... cubic
Formation energy ... -0.206 eV per atom
V ... 18.31 Å³ per atom